## MgAl2Cd (PBE)

Data for a geometry-optimized MgAl2Cd structure.

Crystal system = monoclinic
VASP energy = -2.442 eV/atom
Energy of formation from the pure elements = 5.4 kJ per mole of atoms

```
MgAl2Cd
1.0
5.183 -1.456 0.000
5.183 1.456 0.000
-1.104 0.000 5.189
Mg Al Cd
1 2 1
Direct
0.000 0.000 0.000 Mg
0.251 0.251 0.754 Al
0.749 0.749 0.246 Al
0.500 0.500 0.500 Cd
```


## CuPdO2 (PBE)

Data for a geometry-optimized CuPdO2 structure.

Raw formation energy = -0.5135 eV/atom
Crystal system = orthorhombic
VASP energy = -5.315 eV/atom

```
CuPdO2
1.0
2.966 0.000 0.000
0.000 3.077 0.000
0.000 0.000 5.311
Cu Pd O
1 1 2
Direct
0.000 0.000 0.000 Cu
0.500 0.500 0.500 Pd
0.500 0.000 0.240 O
0.500 0.000 0.760 O
```


## TiCdRe2Te (PBE)

Data for a geometry-optimized TiCdRe2Te structure.

Raw formation energy = 2.0818 eV/atom
Crystal system = tetragonal
VASP energy = -5.288 eV/atom

```
TiCdRe2Te
1.0
4.843 0.000 0.000
0.000 4.843 0.000
0.000 0.000 5.139
Ti Cd Re Te
1 1 2 1
Direct
0.000 0.000 0.000 Ti
0.500 0.500 0.000 Cd
0.000 0.500 0.500 Re
0.500 0.000 0.500 Re
0.500 0.500 0.500 Te
```


## SmCd2Ag6 (PBE)

Data for a geometry-optimized SmCd2Ag6 structure.

Crystal system = orthorhombic
VASP energy = -2.658 eV/atom
Energy of formation from the pure elements = -2.8 kJ per mole of atoms

```
SmCd2Ag6
1.0
-1.679 3.981 7.143
1.679 -3.981 7.143
1.679 3.981 -7.143
Sm Cd Ag
1 2 6
Direct
0.000 0.000 0.000 Sm
0.353 0.853 0.500 Cd
0.647 0.147 0.500 Cd
0.002 0.324 0.678 Ag
0.328 0.500 0.828 Ag
0.354 0.676 0.678 Ag
0.646 0.324 0.322 Ag
0.672 0.500 0.172 Ag
0.998 0.676 0.322 Ag
```


## Zr5CdN6 (PBE)

Data for a geometry-optimized Zr5CdN6 structure.

Raw formation energy = -1.2914 eV/atom
Crystal system = monoclinic
VASP energy = -9.092 eV/atom

```
Zr5CdN6
1.0
2.848 -4.922 0.000
2.848 4.922 0.000
-1.908 0.000 5.372
Zr Cd N
5 1 6
Direct
0.000 0.000 0.000 Zr
0.166 0.834 0.500 Zr
0.338 0.662 0.000 Zr
0.662 0.338 0.000 Zr
0.834 0.166 0.500 Zr
0.500 0.500 0.500 Cd
0.070 0.414 0.240 N
0.242 0.242 0.751 N
0.414 0.070 0.240 N
0.586 0.930 0.760 N
0.758 0.758 0.249 N
0.930 0.586 0.760 N
```


## Li4Mg2In5 (PBE)

Data for a geometry-optimized Li4Mg2In5 structure.

Crystal system = monoclinic
VASP energy = -2.414 eV/atom
Energy of formation from the pure elements = -17.7 kJ per mole of atoms

```
Li4Mg2In5
1.0
5.254 -2.137 0.000
5.254 2.137 0.000
-3.440 0.000 10.611
Li Mg In
4 2 5
Direct
0.043 0.043 0.327 Li
0.324 0.324 0.225 Li
0.676 0.676 0.775 Li
0.957 0.957 0.673 Li
0.403 0.403 0.864 Mg
0.597 0.597 0.136 Mg
0.133 0.133 0.946 In
0.230 0.230 0.598 In
0.500 0.500 0.500 In
0.770 0.770 0.402 In
0.867 0.867 0.054 In
```


## Pr8Si3SeBr4 (PBE)

Data for a geometry-optimized Pr8Si3SeBr4 structure.

Raw formation energy = -1.2160 eV/atom
Crystal system = trigonal
VASP energy = -5.259 eV/atom

```
Pr8Si3SeBr4
1.0
4.297 2.481 7.384
-4.297 2.481 7.384
0.000 -4.962 7.384
Pr Si Se Br
8 3 1 4
Direct
0.226 0.742 0.742 Pr
0.237 0.237 0.237 Pr
0.258 0.258 0.774 Pr
0.258 0.774 0.258 Pr
0.742 0.226 0.742 Pr
0.742 0.742 0.226 Pr
0.763 0.763 0.763 Pr
0.774 0.258 0.258 Pr
0.000 0.000 0.500 Si
0.000 0.500 0.000 Si
0.500 0.000 0.000 Si
0.500 0.500 0.500 Se
0.000 0.000 0.000 Br
0.000 0.500 0.500 Br
0.500 0.000 0.500 Br
0.500 0.500 0.000 Br
```


## Pm4GeB3Rh12 (PBE)

Data for a geometry-optimized Pm4GeB3Rh12 structure.

Crystal system = cubic
VASP energy = -7.251 eV/atom
Energy of formation from the pure elements = -63.5 kJ per mole of atoms

```
Pm4GeB3Rh12
1.0
-4.335 4.335 4.335
4.335 -4.335 4.335
4.335 4.335 -4.335
Pm Ge B Rh
4 1 3 12
Direct
0.000 0.000 0.500 Pm
0.000 0.500 0.000 Pm
0.500 0.000 0.000 Pm
0.500 0.500 0.500 Pm
0.000 0.000 0.000 Ge
0.000 0.500 0.500 B
0.500 0.000 0.500 B
0.500 0.500 0.000 B
0.000 0.269 0.269 Rh
0.000 0.731 0.731 Rh
0.250 0.500 0.750 Rh
0.250 0.750 0.500 Rh
0.269 0.000 0.269 Rh
0.269 0.269 0.000 Rh
0.500 0.250 0.750 Rh
0.500 0.750 0.250 Rh
0.731 0.000 0.731 Rh
0.731 0.731 0.000 Rh
0.750 0.250 0.500 Rh
0.750 0.500 0.250 Rh
```


## ZrH3Se (PBE)

Data for a geometry-optimized ZrH3Se structure.

Crystal system = cubic
VASP energy = -3.715 eV/atom

```
ZrH3Se
1.0
3.749 0.000 0.000
0.000 3.749 0.000
0.000 0.000 3.749
Zr H Se
1 3 1
Direct
0.000 0.000 0.000 Zr
0.000 0.500 0.500 H
0.500 0.000 0.500 H
0.500 0.500 0.000 H
0.500 0.500 0.500 Se
```


## ZrTa2Rh (PBE)

Data for a geometry-optimized ZrTa2Rh structure.

Crystal system = monoclinic
VASP energy = -10.075 eV/atom
Energy of formation from the pure elements = -16.7 kJ per mole of atoms

```
ZrTa2Rh
1.0
2.784 -4.660 0.000
2.784 4.660 0.000
-1.012 0.000 2.767
Zr Ta Rh
1 2 1
Direct
0.000 0.000 0.000 Zr
0.000 0.500 0.500 Ta
0.500 0.000 0.500 Ta
0.500 0.500 0.000 Rh
```


Number 1: spin magnetization 0.00 μB/cell. Number 2: spin magnetization 0.00 μB/cell. Number 3: spin magnetization 0.01 μB/cell. Number 4: spin magnetization 0.00 μB/cell. Number 5: spin magnetization 0.00 μB/cell. Number 6: spin magnetization 0.00 μB/cell. Number 7: spin magnetization 0.00 μB/cell. Number 8: spin magnetization 0.00 μB/cell. Number 9: spin magnetization 0.51 μB/cell. Number 10: spin magnetization 0.00 μB/cell.